Density functional theory data (PBE) for a relaxed La3Ce2Ru4 crystal.

## Properties
As for the energy relative to the lowest polymorph listed for this composition: 0.000 eV/atom. The calculated formation energy comes out at -0.32 eV/atom.

The structure in POSCAR format:
```
La3Ce2Ru4
1.0
-0.816 -2.404 3.462
3.303 -3.097 -4.034
6.652 4.352 4.589
Ru Ce La
4 2 3
Cartesian
4.752 1.948 2.472
4.388 -3.098 1.545
1.470 -2.595 1.207
7.669 1.445 2.810
3.303 -1.856 -0.510
5.837 0.706 4.527
6.266 -0.580 1.073
0.000 0.000 0.000
2.874 -0.569 2.944
```

Density functional theory data (PBE) for a relaxed TmPuTcOs crystal.

## Properties
The calculated formation energy comes out at -0.08 eV/atom.

The structure in POSCAR format:
```
TmPuTcOs
1.0
4.758 0.000 0.000
2.379 4.121 0.000
2.379 1.374 3.885
Tc Tm Pu Os
1 1 1 1
Cartesian
7.137 4.121 2.914
4.758 2.747 1.943
0.000 0.000 0.000
2.379 1.374 0.971
```

Density functional theory data (PBE) for a relaxed YHgSbTe2 crystal.

## Properties
As for the energy relative to the lowest polymorph listed for this composition: 0.000 eV/atom. The value obtained for the uncorrected formation energy is -0.03 eV per atom.

The structure in POSCAR format:
```
YHgSbTe2
1.0
-4.144 1.922 -3.636
-1.109 -5.493 -1.639
-4.054 -0.484 4.365
Y Te Sb Hg
1 2 1 1
Cartesian
0.000 0.000 0.000
-0.555 -2.747 -0.819
-2.072 0.961 -1.818
-2.027 -0.242 2.182
-4.654 -2.027 -0.455
```

Density functional theory data (PBE) for a relaxed Cs2SnSe3 crystal.

## Properties
The value obtained for the uncorrected formation energy is -0.91 eV per atom.

The structure in POSCAR format:
```
Cs2SnSe3
1.0
7.689 0.000 0.449
3.845 7.884 0.225
-0.295 0.000 17.325
Cs Se Sn
8 12 4
Cartesian
1.651 3.149 2.691
5.348 4.735 11.579
9.588 4.735 15.308
5.891 3.149 6.420
9.516 6.286 8.035
5.715 6.286 1.527
1.723 1.598 9.964
5.524 1.598 16.472
1.526 1.531 16.581
5.989 5.429 15.297
7.616 6.564 4.781
5.518 6.354 8.143
7.616 0.471 4.781
9.713 6.354 1.418
3.623 7.414 13.218
8.948 5.429 11.589
5.721 1.531 9.856
3.623 1.320 13.218
2.291 2.455 6.410
5.250 2.455 2.702
5.670 7.875 14.855
5.569 0.009 3.144
9.266 7.875 12.032
1.973 0.009 5.967
```